[1]
# AgAuCS2

A geometry-optimized AgAuCS2 structure (PBE, Alexandria).

Calculated values
- energy above the lowest structure with this stoichiometry (eV/atom) = 0.120
- uncorrected formation energy (eV per formula unit) = 2.015
- ρ (g/cm³) = 5.1

a b c (Å): 3.747 3.747 9.123
angles (deg): 100.09 100.30 90.17
Element x y z (fractional)
1 Ag 0.000 0.000 0.000
2 Au 0.463 0.464 0.909
3 C 0.221 0.215 0.444
4 S 0.129 0.120 0.592
5 S 0.324 0.320 0.297

---

[2]
# ScAg2AuC

A geometry-optimized ScAg2AuC structure (PBE, Alexandria).

Calculated values
- ρ (g/cm³) = 9.2
- formation energy (eV/f.u.) = 2.69

a b c (Å): 4.381 4.381 4.408
angles (deg): 90.00 90.00 90.00
Element x y z (fractional)
1 Sc 0.000 0.000 0.000
2 Ag 0.000 0.500 0.500
3 Ag 0.500 0.000 0.500
4 Au 0.500 0.500 0.000
5 C 0.500 0.500 0.500

---

[3]
# TaAgAuC2

A geometry-optimized TaAgAuC2 structure (PBE, Alexandria).

Calculated values
- ρ (g/cm³) = 9.1
- formation energy (eV/f.u.) = 8.16

a b c (Å): 4.101 4.101 5.551
angles (deg): 90.00 90.00 90.00
Element x y z (fractional)
1 Ta 0.000 0.000 0.000
2 Ag 0.000 0.000 0.500
3 Au 0.500 0.500 0.500
4 C 0.000 0.500 0.000
5 C 0.500 0.000 0.000

---

[4]
# Ca3Ag3Au2

A geometry-optimized Ca3Ag3Au2 structure (PBE, Alexandria).

Calculated values
- energy above the lowest structure with this stoichiometry (eV/atom) = 0.030
- ρ (g/cm³) = 7.2
- formation energy (eV/f.u.) = -3.88

a b c (Å): 5.733 5.733 17.112
angles (deg): 90.00 90.00 136.32
Element x y z (fractional)
1 Ca 0.066 0.934 0.606
2 Ca 0.066 0.934 0.894
3 Ca 0.336 0.664 0.750
4 Ca 0.664 0.336 0.250
5 Ca 0.934 0.066 0.106
6 Ca 0.934 0.066 0.394
7 Ag 0.370 0.630 0.527
8 Ag 0.370 0.630 0.973
9 Ag 0.381 0.619 0.250
10 Ag 0.619 0.381 0.750
11 Ag 0.630 0.370 0.027
12 Ag 0.630 0.370 0.473
13 Au 0.222 0.778 0.119
14 Au 0.222 0.778 0.381
15 Au 0.778 0.222 0.619
16 Au 0.778 0.222 0.881

---

[5]
# CaAg2Au2

A geometry-optimized CaAg2Au2 structure (PBE, Alexandria).

Calculated values
- energy above the lowest structure with this stoichiometry (eV/atom) = 0.091
- ρ (g/cm³) = 10.5
- formation energy (eV/f.u.) = -1.37

a b c (Å): 7.784 7.784 3.408
angles (deg): 90.00 90.00 90.00
Element x y z (fractional)
1 Ca 0.000 0.000 0.000
2 Ca 0.500 0.500 0.000
3 Ag 0.126 0.374 0.000
4 Ag 0.374 0.874 0.000
5 Ag 0.626 0.126 0.000
6 Ag 0.874 0.626 0.000
7 Au 0.172 0.672 0.500
8 Au 0.328 0.172 0.500
9 Au 0.672 0.828 0.500
10 Au 0.828 0.328 0.500

---

[6]
# CaAg3Au

A geometry-optimized CaAg3Au structure (PBE, Alexandria).

Calculated values
- energy above the lowest structure with this stoichiometry (eV/atom) = 1.267
- ρ (g/cm³) = 6.2
- formation energy (eV/f.u.) = 5.11

a b c (Å): 5.302 5.302 5.302
angles (deg): 90.00 90.00 90.00
Element x y z (fractional)
1 Ca 0.000 0.000 0.000
2 Ag 0.000 0.000 0.500
3 Ag 0.000 0.500 0.000
4 Ag 0.500 0.000 0.000
5 Au 0.500 0.500 0.500

---

[7]
# Ca2AgAu

A geometry-optimized Ca2AgAu structure (PBE, Alexandria).

Calculated values
- energy above the lowest structure with this stoichiometry (eV/atom) = 0.306
- ρ (g/cm³) = 5.6
- formation energy (eV/f.u.) = -1.07

a b c (Å): 6.674 6.674 6.674
angles (deg): 106.19 106.19 116.25
Element x y z (fractional)
1 Ca 0.115 0.625 0.990
2 Ca 0.375 0.365 0.490
3 Ca 0.635 0.125 0.010
4 Ca 0.875 0.885 0.510
5 Ag 0.250 0.750 0.500
6 Ag 0.500 0.500 0.000
7 Au 0.000 0.000 0.000
8 Au 0.750 0.250 0.500

---

[8]
# Ca2Ag5Au

A geometry-optimized Ca2Ag5Au structure (PBE, Alexandria).

Calculated values
- ρ (g/cm³) = 7.5
- formation energy (eV/f.u.) = -2.07

a b c (Å): 9.055 9.055 9.876
angles (deg): 90.00 90.00 153.42
Element x y z (fractional)
1 Ca 0.000 0.000 0.000
2 Ca 0.000 0.000 0.500
3 Ca 0.181 0.819 0.750
4 Ca 0.819 0.181 0.250
5 Ag 0.209 0.791 0.102
6 Ag 0.209 0.791 0.398
7 Ag 0.367 0.633 0.030
8 Ag 0.367 0.633 0.470
9 Ag 0.378 0.622 0.750
10 Ag 0.622 0.378 0.250
11 Ag 0.633 0.367 0.530
12 Ag 0.633 0.367 0.970
13 Ag 0.791 0.209 0.602
14 Ag 0.791 0.209 0.898
15 Au 0.464 0.536 0.250
16 Au 0.536 0.464 0.750

---

[9]
# Ca2AgAu

A geometry-optimized Ca2AgAu structure (PBE, Alexandria).

Calculated values
- energy above the lowest structure with this stoichiometry (eV/atom) = 0.159
- ρ (g/cm³) = 5.6
- formation energy (eV/f.u.) = -1.66

a b c (Å): 4.259 4.259 7.703
angles (deg): 106.28 106.28 60.52
Element x y z (fractional)
1 Ca 0.245 0.245 0.235
2 Ca 0.755 0.755 0.765
3 Ag 0.000 0.000 0.500
4 Au 0.500 0.500 0.000

---

[10]
# Ca2AgAu

A geometry-optimized Ca2AgAu structure (PBE, Alexandria).

Calculated values
- energy above the lowest structure with this stoichiometry (eV/atom) = 0.115
- ρ (g/cm³) = 6.4
- formation energy (eV/f.u.) = -1.83

a b c (Å): 5.860 5.860 5.121
angles (deg): 105.06 105.06 36.45
Element x y z (fractional)
1 Ca 0.000 0.000 0.000
2 Ca 0.210 0.210 0.634
3 Ag 0.757 0.757 0.177
4 Au 0.468 0.468 0.480

---

[11]
# CaAgAu2

A geometry-optimized CaAgAu2 structure (PBE, Alexandria).

Calculated values
- ρ (g/cm³) = 10.7
- formation energy (eV/f.u.) = -1.54

a b c (Å): 3.648 3.852 5.959
angles (deg): 90.00 90.00 90.00
Element x y z (fractional)
1 Ca 0.000 0.000 0.000
2 Ag 0.500 0.500 0.712
3 Au 0.000 0.000 0.501
4 Au 0.500 0.500 0.240

---

[12]
# Ca3Ag4Au2

A geometry-optimized Ca3Ag4Au2 structure (PBE, Alexandria).

Calculated values
- energy above the lowest structure with this stoichiometry (eV/atom) = 0.037
- ρ (g/cm³) = 7.4
- formation energy (eV/f.u.) = -3.61

a b c (Å): 4.864 5.690 8.805
angles (deg): 104.91 90.31 115.26
Element x y z (fractional)
1 Ca 0.000 0.000 0.000
2 Ca 0.388 0.776 0.630
3 Ca 0.612 0.224 0.370
4 Ag 0.088 0.179 0.648
5 Ag 0.299 0.597 0.943
6 Ag 0.701 0.403 0.057
7 Ag 0.912 0.821 0.352
8 Au 0.268 0.536 0.261
9 Au 0.732 0.464 0.739

---

[13]
# CaAg2Au2

A geometry-optimized CaAg2Au2 structure (PBE, Alexandria).

Calculated values
- energy above the lowest structure with this stoichiometry (eV/atom) = 0.143
- ρ (g/cm³) = 9.8
- formation energy (eV/f.u.) = -1.11

a b c (Å): 7.133 7.133 7.133
angles (deg): 146.48 146.48 48.13
Element x y z (fractional)
1 Ca 0.000 0.000 0.000
2 Ag 0.398 0.398 0.000
3 Ag 0.602 0.602 0.000
4 Au 0.250 0.750 0.500
5 Au 0.750 0.250 0.500

---

[14]
# Ca2AgAu

A geometry-optimized Ca2AgAu structure (PBE, Alexandria).

Calculated values
- energy above the lowest structure with this stoichiometry (eV/atom) = 0.162
- ρ (g/cm³) = 6.5
- formation energy (eV/f.u.) = -1.65

a b c (Å): 5.907 5.907 5.907
angles (deg): 136.12 136.12 63.79
Element x y z (fractional)
1 Ca 0.000 0.000 0.000
2 Ca 0.750 0.250 0.500
3 Ag 0.250 0.750 0.500
4 Au 0.500 0.500 0.000

---

[15]
# CaAg2Au2

A geometry-optimized CaAg2Au2 structure (PBE, Alexandria).

Calculated values
- energy above the lowest structure with this stoichiometry (eV/atom) = 0.000
- ρ (g/cm³) = 9.8
- formation energy (eV/f.u.) = -1.82

a b c (Å): 7.348 7.348 7.348
angles (deg): 148.22 148.22 45.56
Element x y z (fractional)
1 Ca 0.000 0.000 0.000
2 Ag 0.250 0.750 0.500
3 Ag 0.750 0.250 0.500
4 Au 0.400 0.400 0.000
5 Au 0.600 0.600 0.000

---

[16]
# Ca4Ag5Au2

A geometry-optimized Ca4Ag5Au2 structure (PBE, Alexandria).

Calculated values
- ρ (g/cm³) = 6.8
- formation energy (eV/f.u.) = -4.50

a b c (Å): 7.415 4.211 8.619
angles (deg): 90.00 95.12 90.00
Element x y z (fractional)
1 Ca 0.221 0.000 0.375
2 Ca 0.237 0.000 0.913
3 Ca 0.763 0.000 0.087
4 Ca 0.779 0.000 0.625
5 Ag 0.156 0.500 0.630
6 Ag 0.474 0.500 0.168
7 Ag 0.500 0.500 0.500
8 Ag 0.526 0.500 0.832
9 Ag 0.844 0.500 0.370
10 Au 0.093 0.500 0.146
11 Au 0.907 0.500 0.854

---

[17]
# Ca4AgAu5

A geometry-optimized Ca4AgAu5 structure (PBE, Alexandria).

Calculated values
- ρ (g/cm³) = 9.1
- formation energy (eV/f.u.) = -6.62

a b c (Å): 3.643 3.643 17.205
angles (deg): 90.00 90.00 90.00
Element x y z (fractional)
1 Ca 0.000 0.000 0.105
2 Ca 0.000 0.000 0.318
3 Ca 0.000 0.000 0.682
4 Ca 0.000 0.000 0.895
5 Ag 0.000 0.000 0.500
6 Au 0.500 0.500 0.000
7 Au 0.500 0.500 0.212
8 Au 0.500 0.500 0.415
9 Au 0.500 0.500 0.585
10 Au 0.500 0.500 0.788

---

[18]
# CaAg2Au4

A geometry-optimized CaAg2Au4 structure (PBE, Alexandria).

Calculated values
- ρ (g/cm³) = 12.3
- formation energy (eV/f.u.) = -2.36

a b c (Å): 5.781 5.781 5.781
angles (deg): 102.67 102.67 124.15
Element x y z (fractional)
1 Ca 0.000 0.000 0.000
2 Ag 0.250 0.750 0.500
3 Ag 0.750 0.250 0.500
4 Au 0.303 0.303 0.606
5 Au 0.303 0.697 0.000
6 Au 0.697 0.303 0.000
7 Au 0.697 0.697 0.394

---

[19]
# Ca2AgAu

A geometry-optimized Ca2AgAu structure (PBE, Alexandria).

Calculated values
- energy above the lowest structure with this stoichiometry (eV/atom) = 0.156
- ρ (g/cm³) = 5.8
- formation energy (eV/f.u.) = -1.67

a b c (Å): 4.232 4.232 6.177
angles (deg): 90.00 90.00 90.00
Element x y z (fractional)
1 Ca 0.000 0.000 0.000
2 Ca 0.500 0.500 0.408
3 Ag 0.000 0.000 0.515
4 Au 0.500 0.500 0.902

---

[20]
# Ca5AgAu6

A geometry-optimized Ca5AgAu6 structure (PBE, Alexandria).

Calculated values
- ρ (g/cm³) = 8.9
- formation energy (eV/f.u.) = -8.23

a b c (Å): 8.759 8.759 5.061
angles (deg): 106.78 106.78 119.17
Element x y z (fractional)
1 Ca 0.000 0.000 0.000
2 Ca 0.173 0.827 0.500
3 Ca 0.348 0.652 0.000
4 Ca 0.652 0.348 0.000
5 Ca 0.827 0.173 0.500
6 Ag 0.500 0.500 0.500
7 Au 0.078 0.412 0.247
8 Au 0.228 0.228 0.727
9 Au 0.412 0.078 0.247
10 Au 0.588 0.922 0.753
11 Au 0.772 0.772 0.273
12 Au 0.922 0.588 0.753